DFT (PBE-GGA) results for crystalline DyCdAs2Pd5 at its relaxed geometry.

## Properties
The energy of formation from the pure elements is -0.633 eV/atom. For the density of states at the Fermi level, the calculation gives 1.663 states/eV/cell.

Geometry as CIF:
```
data_DyCdAs2Pd5
_symmetry_space_group_name_H-M 'P 4/m m m'
_symmetry_Int_Tables_number 123
_symmetry_space_group_name_Hall '-P 4 2'
_cell_length_a 4.243
_cell_length_b 4.243
_cell_length_c 8.818
_cell_angle_alpha 90.00
_cell_angle_beta 90.00
_cell_angle_gamma 90.00
loop_
_atom_site_label
_atom_site_fract_x
_atom_site_fract_y
_atom_site_fract_z
_atom_site_occupancy
Dy1 0.000 0.000 0.000 1
Cd1 0.000 0.000 0.500 1
As1 0.500 0.500 0.139 1
Pd1 0.000 0.500 0.279 1
Pd2 0.500 0.500 0.500 1
```